{
  "formula": "MgFePtAu2",
  "functional": "PBE-GGA",
  "state": "optimized geometry",
  "lattice_angstrom": [[4.789, 0.000, 0.000], [0.000, 4.693, 0.000], [0.000, 0.000, 4.789]],
  "species": ["Pt", "Fe", "Mg", "Au", "Au"],
  "frac_coords": [[0.000, 0.500, 0.000], [0.000, 0.000, 0.000], [0.500, 0.500, 0.500], [0.500, 0.000, 0.000], [0.000, 0.000, 0.500]],
  "sg": "No. 123",
  "e_tot_ev_per_atom": -4.090,
  "formation_enthalpy_0k_mev_per_atom": 440.5,
  "dos_at_fermi_per_ev_atom": 0.5582
}